Here is a relaxed ScCr2W crystal from Alexandria via LeMat-Bulk. Energies are from PBE.

a b c (Å): 3.6288 3.6288 9.1223
angles (deg): 90.00 90.00 90.00
Space group I-4m2 (No. 119)
Asymmetric unit:
Sc (0.0000, 0.0000, 0.0000) (multiplicity 2)
Cr (0.0000, 0.0000, 0.5000) (multiplicity 2)
Cr (0.0000, 0.5000, 0.2500) (multiplicity 2)
W (0.0000, 0.5000, 0.7500) (multiplicity 2)

Crystal system: tetragonal
Energy: -36.64 eV per formula unit
Density of states at the Fermi level: 1.19 states/eV/atom
ΔE to the lowest computed polymorph: 266 meV per atom
E_form: 473 meV per atom

***

Here is a relaxed Sc2CrW crystal from Alexandria via LeMat-Bulk. Energies are from PBE.

a b c (Å): 2.7595 4.6240 5.4566
angles (deg): 90.00 90.00 90.00
Space group Pmmm (No. 47)
Asymmetric unit:
Sc (0.0000, 0.0000, 0.2451) (multiplicity 2)
Cr (0.5000, 0.5000, 0.0000) (multiplicity 1)
W (0.5000, 0.5000, 0.5000) (multiplicity 1)

Crystal system: orthorhombic
Energy: -33.42 eV per formula unit
Density of states at the Fermi level: 1.34 states/eV/atom
ΔE to the lowest computed polymorph: 331 meV per atom
E_form: 455 meV per atom

***

Q: What is the density of states at the Fermi level in the second record?
A: 1.34 states/eV/atom